PrErMnIn GGA-PBE relaxed; raw total energy = -5.380 eV/atom; total moment = 3.37 μB/f.u.
1.0
5.2832 0.0000 0.0000
2.6416 4.5754 0.0000
2.6416 1.5251 4.3137
In Pr Mn Er
1 1 1 1
Cartesian
5.2832 3.0502 2.1568
7.9248 4.5754 3.2353
0.0000 0.0000 0.0000
2.6416 1.5251 1.0784

Er2Mn2InRh5 GGA-PBE relaxed; raw total energy = -7.169 eV/atom; total moment = 6.74 μB/f.u.
1.0
3.7294 0.0000 0.0000
0.0000 9.5819 0.0000
0.0000 0.0000 9.5819
Er Rh Mn In
4 10 4 2
Cartesian
0.0000 3.0906 7.8816
0.0000 7.8816 6.4913
0.0000 6.4913 1.7003
0.0000 1.7003 3.0906
1.8647 2.0188 0.6493
1.8647 8.9326 2.0188
1.8647 5.4403 6.8098
1.8647 0.0000 4.7910
1.8647 7.5631 8.9326
1.8647 4.1417 2.7721
1.8647 0.6493 7.5631
1.8647 6.8098 4.1417
1.8647 4.7910 0.0000
1.8647 2.7721 5.4403
0.0000 3.6383 1.1526
0.0000 1.1526 5.9436
0.0000 5.9436 8.4293
0.0000 8.4293 3.6383
0.0000 4.7910 4.7910
0.0000 0.0000 0.0000

ErMnInRu GGA-PBE relaxed; raw total energy = -6.554 eV/atom; total moment = 3.12 μB/f.u.
1.0
4.6939 0.0000 0.0000
2.3469 4.0650 0.0000
2.3469 1.3550 3.8325
Ru In Er Mn
1 1 1 1
Cartesian
0.0000 0.0000 0.0000
7.0408 4.0650 2.8744
2.3469 1.3550 0.9581
4.6939 2.7100 1.9163